# 1
{"formula": "SiTc2Ag", "functional": "GGA-PBEsol", "state": "relaxed", "lattice_angstrom": [[2.810, 0.000, 0.000], [-1.405, 4.417, -0.022], [0.000, -0.782, 4.567]], "species": ["Si", "Tc", "Tc", "Ag"], "fractional_positions": [[0.258, 0.517, 0.756], [0.743, 0.487, 0.224], [0.998, 0.995, 0.009], [0.501, 0.001, 0.510]], "energy_ev_per_atom": -7.733, "e_form_raw_kj_per_mol_atoms": 15.9}

# 2
{"formula": "SiAg2Te", "functional": "GGA-PBEsol", "state": "relaxed", "lattice_angstrom": [[-0.199, -3.415, 1.815], [0.295, -3.288, -2.023], [6.284, -2.170, 0.737]], "species": ["Ag", "Ag", "Si", "Te"], "fractional_positions": [[0.007, 0.007, 0.980], [0.757, 0.757, 0.729], [0.489, 0.489, 0.533], [0.248, 0.248, 0.257]], "energy_ev_per_atom": -3.728, "e_above_lowest_polymorph_mev_per_atom": 15.4, "e_form_raw_kj_per_mol_atoms": 23.7}

# 3
{"formula": "SiAg2Te", "functional": "GGA-PBEsol", "state": "relaxed", "lattice_angstrom": [[3.126, 0.000, 0.000], [0.000, 4.216, 0.000], [-1.563, -2.108, 6.175]], "species": ["Ag", "Ag", "Si", "Te"], "fractional_positions": [[0.821, 0.321, 0.642], [0.982, 0.982, 0.964], [0.498, 0.498, 0.995], [0.200, 0.700, 0.399]], "energy_ev_per_atom": -3.744, "e_above_lowest_polymorph_mev_per_atom": 0.0, "e_form_raw_kj_per_mol_atoms": 22.2}

# 4
{"formula": "SiAgTe2", "functional": "GGA-PBEsol", "state": "relaxed", "lattice_angstrom": [[3.600, 0.085, 0.000], [-1.355, 3.337, 0.000], [0.000, 0.000, 7.706]], "species": ["Te", "Te", "Ag", "Si"], "fractional_positions": [[0.000, 0.000, 0.758], [0.000, 0.000, 0.242], [0.500, 0.500, 0.500], [0.500, 0.500, 0.000]], "energy_ev_per_atom": -3.693, "e_above_lowest_polymorph_mev_per_atom": 338.6, "e_form_raw_kj_per_mol_atoms": 32.3}

# 5
{"formula": "SiAgTe2", "functional": "GGA-PBEsol", "state": "relaxed", "lattice_angstrom": [[3.988, 0.000, 0.000], [1.994, 3.454, 0.000], [1.994, 1.151, 6.721]], "species": ["Te", "Te", "Si", "Ag"], "fractional_positions": [[0.755, 0.755, 0.736], [0.245, 0.245, 0.264], [0.500, 0.500, 0.500], [0.000, 0.000, 0.000]], "energy_ev_per_atom": -4.032, "e_above_lowest_polymorph_mev_per_atom": 0.0, "e_form_raw_kj_per_mol_atoms": -0.4}

# 6
{"formula": "Si3AgTe", "functional": "GGA-PBEsol", "state": "relaxed", "lattice_angstrom": [[-4.871, 0.344, -1.649], [1.328, -2.320, -4.407], [-1.036, -4.590, 2.104]], "species": ["Si", "Si", "Si", "Te", "Ag"], "fractional_positions": [[0.000, 0.500, 0.000], [0.000, 0.000, 0.500], [0.500, 0.000, 0.000], [0.000, 0.000, 0.000], [0.500, 0.500, 0.500]], "energy_ev_per_atom": -3.316, "e_form_raw_kj_per_mol_atoms": 144.7}

# 7
{"formula": "SiAgTe2", "functional": "GGA-PBEsol", "state": "relaxed", "lattice_angstrom": [[-1.041, 2.941, -0.512], [-1.404, 1.608, 2.332], [8.720, 5.420, 3.655]], "species": ["Si", "Te", "Te", "Ag"], "fractional_positions": [[0.000, 0.000, 0.000], [0.089, 0.089, 0.734], [0.911, 0.911, 0.266], [0.500, 0.500, 0.500]], "energy_ev_per_atom": -3.586, "e_above_lowest_polymorph_mev_per_atom": 445.4, "e_form_raw_kj_per_mol_atoms": 42.6}

# 8
{"formula": "SiAgTe2", "functional": "GGA-PBEsol", "state": "relaxed", "lattice_angstrom": [[6.068, 0.000, 0.000], [0.000, 6.068, 0.000], [-3.034, -3.034, 6.585]], "species": ["Te", "Te", "Te", "Te", "Ag", "Ag", "Si", "Si"], "fractional_positions": [[0.392, 0.875, 0.250], [0.125, 0.142, 0.750], [0.625, 0.608, 0.750], [0.858, 0.375, 0.250], [0.000, 0.000, 0.000], [0.250, 0.750, 0.500], [0.750, 0.250, 0.500], [0.500, 0.500, 0.000]], "energy_ev_per_atom": -3.874, "e_above_lowest_polymorph_mev_per_atom": 157.9, "e_form_raw_kj_per_mol_atoms": 14.8}

# 9
{"formula": "TlSiAg2", "functional": "GGA-PBEsol", "state": "relaxed", "lattice_angstrom": [[4.160, 0.000, 0.000], [0.000, 4.160, 0.000], [-2.080, -2.080, 4.278]], "species": ["Si", "Tl", "Ag", "Ag"], "fractional_positions": [[0.500, 0.500, 0.000], [0.250, 0.750, 0.500], [0.750, 0.250, 0.500], [0.000, 0.000, 0.000]], "energy_ev_per_atom": -3.441, "e_form_raw_kj_per_mol_atoms": 29.8}

# 10
{"formula": "TlSiAg2", "functional": "GGA-PBEsol", "state": "relaxed", "lattice_angstrom": [[3.133, 0.000, 0.000], [1.567, 2.714, 0.000], [1.567, 0.905, 8.777]], "species": ["Si", "Ag", "Ag", "Tl"], "fractional_positions": [[0.500, 0.500, 0.500], [0.761, 0.761, 0.718], [0.239, 0.239, 0.282], [0.000, 0.000, 0.000]], "energy_ev_per_atom": -3.525, "e_form_raw_kj_per_mol_atoms": 21.7}

# 11
{"formula": "TlSiAg2", "functional": "GGA-PBEsol", "state": "relaxed", "lattice_angstrom": [[-2.460, -1.119, -1.449], [3.521, 0.160, -2.858], [0.855, -5.312, 2.652]], "species": ["Si", "Tl", "Ag", "Ag"], "fractional_positions": [[0.000, 0.000, 0.500], [0.500, 0.000, 0.000], [0.260, 0.521, 0.300], [0.740, 0.479, 0.700]], "energy_ev_per_atom": -3.501, "e_form_raw_kj_per_mol_atoms": 24.0}

# 12
{"formula": "SiAgW2", "functional": "GGA-PBEsol", "state": "relaxed", "lattice_angstrom": [[-1.064, -0.297, -2.512], [-3.041, -2.313, 1.561], [-2.585, 4.485, 1.608]], "species": ["Ag", "W", "W", "Si"], "fractional_positions": [[0.500, 0.500, 0.000], [0.065, 0.000, 0.271], [0.935, 0.000, 0.729], [0.500, 0.500, 0.500]], "energy_ev_per_atom": -8.809, "e_form_raw_kj_per_mol_atoms": 34.6}